Arrangement A

## BaGaTc (PBE)

Data for an optimized crystal structure of BaGaTc.

abc: 11.5451 4.3391 7.5213
angles: 90.00 90.13 90.00
Fractional coordinates of all 12 atoms:
Tc1 0.4270 0.0000 0.5549
Ga1 0.5195 0.0000 0.2215
Ba1 0.7255 0.5000 0.0554
Ga2 0.2804 0.5000 0.3870
Ga3 0.5195 0.5000 0.7215
Tc2 0.4901 0.5000 0.3882
Ba2 0.0990 0.0000 0.2198
Ba3 0.0990 0.5000 0.7198
Tc3 0.4270 0.5000 0.0549
Ba4 0.7255 0.0000 0.5554
Ga4 0.2804 0.0000 0.8870
Tc4 0.4901 0.0000 0.8882

Values from the calculation:
Total magnetic moment: 0.000 μB per formula unit
Mass density: 5.38 g cm⁻³
SG: Cm, No. 8

---

Arrangement B

## BaGaTc (PBE)

Data for an optimized crystal structure of BaGaTc.

abc: 4.2890 4.1647 9.8923
angles: 90.00 94.21 90.00
Fractional coordinates of all 6 atoms:
Ga1 0.3259 0.2500 0.3490
Ba1 0.2242 0.2500 0.8071
Ga2 0.6741 0.7500 0.6510
Tc1 0.1544 0.7500 0.4996
Ba2 0.7758 0.7500 0.1929
Tc2 0.8456 0.2500 0.5004

Values from the calculation:
Total magnetic moment: 0.000 μB per formula unit
Mass density: 5.75 g cm⁻³
SG: P2_1/m, No. 11

---

Arrangement C

## BaGaTc (PBE)

Data for an optimized crystal structure of BaGaTc.

abc: 4.3023 4.3029 11.4062
angles: 79.60 79.47 60.03
Fractional coordinates of all 6 atoms:
Ba1 0.2335 0.2376 0.8047
Ba2 0.7665 0.7624 0.1953
Tc1 0.6594 0.6596 0.5225
Ga1 0.0383 0.0368 0.3828
Tc2 0.3406 0.3404 0.4775
Ga2 0.9617 0.9632 0.6172

Values from the calculation:
Total magnetic moment: 0.000 μB per formula unit
Mass density: 5.66 g cm⁻³
SG: P-1, No. 2

---

Arrangement D

## BaGaTc (PBE)

Data for an optimized crystal structure of BaGaTc.

abc: 4.1273 4.2859 20.4644
angles: 90.00 101.53 90.00
Fractional coordinates of all 12 atoms:
Tc1 0.0000 0.5430 0.5000
Ga1 0.4238 0.2340 0.9229
Ga2 0.5762 0.2340 0.0771
Tc2 0.5000 0.2378 0.5000
Ga3 0.4238 0.7340 0.4229
Ba1 0.1520 0.7109 0.1535
Tc3 0.5000 0.7378 0.0000
Ba2 0.8480 0.2109 0.3465
Tc4 0.0000 0.0430 0.0000
Ba3 0.1520 0.2109 0.6535
Ba4 0.8480 0.7109 0.8465
Ga4 0.5762 0.7340 0.5771

Values from the calculation:
Total magnetic moment: 0.000 μB per formula unit
Mass density: 5.71 g cm⁻³
SG: C2, No. 5

---

What should be chosen as the most stable of them? Choose arrangement C.

---

Arrangement A

## Ba2GaTc2 (PBE)

Data for an optimized crystal structure of Ba2GaTc2.

abc: 9.6532 9.6532 3.2471
angles: 90.00 90.00 90.00
Fractional coordinates of all 10 atoms:
Tc1 0.4220 0.0780 0.5000
Ba1 0.2008 0.2992 0.0000
Ba2 0.7008 0.2008 0.0000
Ba3 0.7992 0.7008 0.0000
Tc2 0.0780 0.5780 0.5000
Ga1 0.5000 0.5000 0.0000
Ga2 0.0000 0.0000 0.0000
Tc3 0.9220 0.4220 0.5000
Ba4 0.2992 0.7992 0.0000
Tc4 0.5780 0.9220 0.5000

Values from the calculation:
Total magnetic moment: 0.000 μB per formula unit
Mass density: 5.93 g cm⁻³
SG: P4/mbm, No. 127

---

Arrangement B

## Ba2GaTc2 (PBE)

Data for an optimized crystal structure of Ba2GaTc2.

abc: 3.5706 3.5706 11.1308
angles: 80.77 80.77 90.00
Fractional coordinates of all 5 atoms:
Ba1 0.6113 0.6113 0.7774
Ba2 0.3887 0.3887 0.2226
Tc1 0.2500 0.7500 0.5000
Ga1 0.0000 0.0000 0.0000
Tc2 0.7500 0.2500 0.5000

Values from the calculation:
Total magnetic moment: 0.000 μB per formula unit
Mass density: 6.49 g cm⁻³
SG: I4/mmm, No. 139

---

What should be chosen as the most stable of them? Choose arrangement B.

---

Arrangement A

## BaZn2GaTc (PBE)

Data for an optimized crystal structure of BaZn2GaTc.

abc: 4.9927 4.9927 4.8660
angles: 90.00 90.00 90.00
Fractional coordinates of all 5 atoms:
Zn1 0.5000 0.0000 0.0000
Tc1 0.0000 0.0000 0.0000
Ba1 0.5000 0.5000 0.5000
Zn2 0.0000 0.5000 0.0000
Ga1 0.0000 0.0000 0.5000

Values from the calculation:
Total magnetic moment: 0.000 μB per formula unit
Mass density: 5.97 g cm⁻³
SG: P4/mmm, No. 123

---

Arrangement B

## BaZn2GaTc (PBE)

Data for an optimized crystal structure of BaZn2GaTc.

abc: 5.0204 5.4082 5.0204
angles: 90.00 90.00 90.00
Fractional coordinates of all 5 atoms:
Ba1 0.0000 0.5000 0.0000
Zn1 0.0000 0.0000 0.5000
Tc1 0.0000 0.0000 0.0000
Ga1 0.5000 0.5000 0.5000
Zn2 0.5000 0.0000 0.0000

Values from the calculation:
Total magnetic moment: 0.000 μB per formula unit
Mass density: 5.31 g cm⁻³
SG: P4/mmm, No. 123

---

What should be chosen as the most stable of them? Choose arrangement A.

---

Arrangement A

## BaGaTe3 (PBE)

Data for an optimized crystal structure of BaGaTe3.

abc: 8.2080 8.2422 6.7880
angles: 97.57 123.26 81.06
Fractional coordinates of all 10 atoms:
Te1 0.7851 0.9515 0.9895
Te2 0.2073 0.3048 0.1250
Ba1 0.3248 0.9039 0.4004
Ga1 0.1086 0.0916 0.7681
Te3 0.6563 0.5265 0.5092
Te4 0.7435 0.0195 0.4425
Ba2 0.7332 0.3826 0.0363
Te5 0.2638 0.7749 0.8484
Ga2 0.8887 0.7537 0.6993
Te6 0.2163 0.2989 0.6013

Values from the calculation:
Total magnetic moment: 0.000 μB per formula unit
Mass density: 5.17 g cm⁻³
SG: P1, No. 1

---

Arrangement B

## BaGaTe3 (PBE)

Data for an optimized crystal structure of BaGaTe3.

abc: 5.5501 5.5501 5.5501
angles: 90.00 90.00 90.00
Fractional coordinates of all 5 atoms:
Ga1 0.0000 0.0000 0.0000
Te1 0.5000 0.0000 0.0000
Ba1 0.5000 0.5000 0.5000
Te2 0.0000 0.5000 0.0000
Te3 0.0000 0.0000 0.5000

Values from the calculation:
Total magnetic moment: 0.000 μB per formula unit
Mass density: 5.73 g cm⁻³
SG: Pm-3m, No. 221

---

Arrangement C

## BaGaTe3 (PBE)

Data for an optimized crystal structure of BaGaTe3.

abc: 6.5787 6.5787 6.5787
angles: 90.00 90.00 90.00
Site moments in Bohr magnetons follow the coordinates.
Fractional coordinates of all 5 atoms:
Ba1 0.0000 0.0000 0.0000  0.01
Ga1 0.5000 0.5000 0.5000  -0.01
Te1 0.0000 0.5000 0.0000  0.55
Te2 0.0000 0.0000 0.5000  0.59
Te3 0.5000 0.0000 0.0000  0.43

Values from the calculation:
Total magnetic moment: 2.996 μB per formula unit
Mass density: 3.44 g cm⁻³
SG: Pm-3m, No. 221

---

What should be chosen as the most stable of them? Choose arrangement A.